[1]
SiAg3S4 | PBE | relaxed

Values from the calculation:
The offset from the most stable computed form comes out at 0.0 kJ/mol of atoms. The total magnetization is 0.0 μB per cell. The value obtained for the uncorrected formation energy is -272 meV per atom. The total energy comes out at -4.0826 eV per atom. For the density of states at the Fermi level, the calculation gives 6.843 states/eV per cell. The value obtained for the volume is 22.2 A^3/atom.

Lattice parameters (Å, degrees): 5.6416 5.6416 6.8635 114.27 114.27 90.00
Positions (direct):
S: 0.8917 0.8917 0.2221
S: 0.3304 0.3304 0.2221
S: 0.1083 0.6696 0.7779
S: 0.6696 0.1083 0.7779
Ag: 0.5000 0.5000 0.0000
Ag: 0.7500 0.2500 0.5000
Ag: 0.2500 0.7500 0.5000
Si: 0.0000 0.0000 0.0000

[2]
Ac2Al5Hg | PBE | relaxed

Values from the calculation:
The total magnetization is 0.0 μB per cell. The total energy comes out at -3.7597 eV per atom. For the density of states at the Fermi level, the calculation gives 9.161 states/eV per cell. For the energy relative to the elements, the calculation gives -356 meV/atom. The value obtained for the volume is 24.5 A^3/atom.

Lattice parameters (Å, degrees): 4.6790 9.1874 9.4310 90.00 90.00 104.75
Positions (direct):
Al: 0.6506 0.3013 0.0139
Al: 0.3494 0.6987 0.5139
Al: 0.8166 0.6332 0.3899
Al: 0.8166 0.6332 0.1101
Al: 0.5931 0.1862 0.7500
Al: 0.3494 0.6987 0.9861
Al: 0.6506 0.3013 0.4861
Al: 0.4069 0.8138 0.2500
Al: 0.1834 0.3668 0.8899
Al: 0.1834 0.3668 0.6101
Ac: 0.2052 0.4104 0.2500
Ac: 0.7948 0.5896 0.7500
Ac: 0.0000 0.0000 0.5000
Ac: 0.0000 0.0000 0.0000
Hg: 0.4401 0.8802 0.7500
Hg: 0.5599 0.1198 0.2500